No. 1
MgCd5In8 (PBE, relaxed); DFT formation energy = 54 meV/atom; raw total energy = -27.328 eV per cell; SG = No. 82; M_tot = 0.00 μB per cell
1.0
-4.610 4.610 4.318
4.610 -4.610 4.318
4.610 4.610 -4.318
Mg Cd In
1 5 8
Direct
0.000 0.000 0.000
0.248 0.673 0.217
0.327 0.544 0.575
0.456 0.031 0.783
0.750 0.250 0.500
0.969 0.752 0.425
0.127 0.703 0.824
0.165 0.281 0.788
0.297 0.121 0.424
0.494 0.377 0.212
0.623 0.835 0.117
0.697 0.873 0.576
0.719 0.506 0.883
0.879 0.303 0.176

---

No. 2
Mg12Cd2In5 (PBE, relaxed); distance to the lowest polymorph of the same formula = 0.076 eV per atom; DFT formation energy = 35 meV/atom; raw total energy = -33.998 eV per cell; SG = No. 12; M_tot = 0.00 μB per cell
1.0
8.188 -3.072 0.000
8.188 3.072 0.000
-2.140 0.000 9.614
Mg Cd In
12 2 5
Direct
0.023 0.023 0.345
0.054 0.546 0.879
0.101 0.608 0.375
0.376 0.376 0.672
0.392 0.899 0.625
0.454 0.946 0.121
0.546 0.054 0.879
0.608 0.101 0.375
0.624 0.624 0.328
0.899 0.392 0.625
0.946 0.454 0.121
0.977 0.977 0.655
0.262 0.738 0.000
0.738 0.262 0.000
0.132 0.132 0.876
0.204 0.204 0.394
0.500 0.500 0.500
0.796 0.796 0.606
0.868 0.868 0.124

---

No. 3
Mg5Cd2In5 (PBE, relaxed); distance to the lowest polymorph of the same formula = 0.070 eV per atom; DFT formation energy = 14 meV/atom; raw total energy = -23.322 eV per cell; SG = No. 12; M_tot = 0.00 μB per cell
1.0
4.986 -2.481 0.000
4.986 2.481 0.000
-2.852 0.000 12.644
Mg Cd In
5 2 5
Direct
0.000 0.000 0.000
0.151 0.151 0.478
0.252 0.252 0.880
0.748 0.748 0.120
0.849 0.849 0.522
0.376 0.376 0.688
0.624 0.624 0.312
0.284 0.284 0.287
0.423 0.423 0.105
0.500 0.500 0.500
0.577 0.577 0.895
0.716 0.716 0.713